Entry 1:
# Dy5RhS4 | Alexandria | GGA-PBE | relaxed
# ΔE_f (raw): -1723 meV/atom
# Magnetic moment: 0.0 μB/f.u.
data_Dy5RhS4
_chemical_formula_sum 'Dy10 Rh2 S8'
_cell_length_a 3.9306
_cell_length_b 3.9306
_cell_length_c 27.9678
_cell_angle_alpha 90.00
_cell_angle_beta 90.00
_cell_angle_gamma 90.00
_symmetry_space_group_name_H-M 'I 4/m m m'
_symmetry_Int_Tables_number 139
_symmetry_space_group_name_Hall '-I 4 2'
loop_
_atom_site_label
_atom_site_type_symbol
_atom_site_fract_x
_atom_site_fract_y
_atom_site_fract_z
Dy1 Dy 0.0000 0.0000 0.0000
Dy2 Dy 0.0000 0.0000 0.2028
Dy3 Dy 0.0000 0.0000 0.4010
Rh1 Rh 0.0000 0.0000 0.5000
S1 S 0.0000 0.0000 0.1037
S2 S 0.0000 0.0000 0.3019

***

Entry 2:
# Sm3Pa2Ru4 | Alexandria | GGA-PBE | relaxed
# Formation energy: -39.7 kJ/mol of atoms
# Magnetic moment: 0.0 μB/f.u.
data_Sm3Pa2Ru4
_chemical_formula_sum 'Sm12 Pa8 Ru16'
_cell_length_a 14.4363
_cell_length_b 9.7494
_cell_length_c 6.0502
_cell_angle_alpha 90.00
_cell_angle_beta 92.23
_cell_angle_gamma 90.00
_symmetry_space_group_name_H-M 'C 1 2/c 1'
_symmetry_Int_Tables_number 15
loop_
_symmetry_equiv_pos_as_xyz
'x,y,z'
'-x,-y,-z'
'-x,y,-z+1/2'
'x,-y,z+1/2'
'x+1/2,y+1/2,z'
'-x+1/2,-y+1/2,-z'
'-x+1/2,y+1/2,-z+1/2'
'x+1/2,-y+1/2,z+1/2'
loop_
_atom_site_label
_atom_site_type_symbol
_atom_site_fract_x
_atom_site_fract_y
_atom_site_fract_z
Sm1 Sm 0.0000 0.0956 0.2500
Sm2 Sm 0.0925 0.3811 0.9725
Pa1 Pa 0.2065 0.1052 0.6399
Ru1 Ru 0.1165 0.3068 0.4896
Ru2 Ru 0.2095 0.1387 0.1517

***

Entry 3:
# RbTlSe3 | Alexandria | GGA-PBE | relaxed
# ΔE_f (raw): 578 meV/atom
# Magnetic moment: 4.0 μB/f.u.
data_RbTlSe3
_chemical_formula_sum 'Rb1 Tl1 Se3'
_cell_length_a 6.2265
_cell_length_b 6.2265
_cell_length_c 6.2265
_cell_angle_alpha 90.00
_cell_angle_beta 90.00
_cell_angle_gamma 90.00
_symmetry_space_group_name_H-M 'P m -3 m'
_symmetry_Int_Tables_number 221
_symmetry_space_group_name_Hall '-P 4 2 3'
loop_
_atom_site_label
_atom_site_type_symbol
_atom_site_fract_x
_atom_site_fract_y
_atom_site_fract_z
Rb1 Rb 0.0000 0.0000 0.0000
Tl1 Tl 0.5000 0.5000 0.5000
Se1 Se 0.0000 0.0000 0.5000

***

Entry 4:
# MoOs3 | Alexandria | GGA-PBE | relaxed
# Formation energy: 8.9 kJ/mol of atoms
# Magnetic moment: 0.0 μB/f.u.
data_MoOs3
_chemical_formula_sum 'Mo2 Os6'
_cell_length_a 9.1375
_cell_length_b 2.7527
_cell_length_c 4.7567
_cell_angle_alpha 90.00
_cell_angle_beta 100.02
_cell_angle_gamma 90.00
_symmetry_space_group_name_H-M 'C 1 2/m 1'
_symmetry_Int_Tables_number 12
loop_
_symmetry_equiv_pos_as_xyz
'x,y,z'
'-x,-y,-z'
'-x,y,-z'
'x,-y,z'
'x+1/2,y+1/2,z'
'-x+1/2,-y+1/2,-z'
'-x+1/2,y+1/2,-z'
'x+1/2,-y+1/2,z'
loop_
_atom_site_label
_atom_site_type_symbol
_atom_site_fract_x
_atom_site_fract_y
_atom_site_fract_z
Mo1 Mo 0.0000 0.0000 0.0000
Os1 Os 0.0000 0.5000 0.5000
Os2 Os 0.2474 0.0000 0.7414

***

Entry 5:
# CuReSb2 | Alexandria | GGA-PBE | relaxed
# ΔE_f (raw): 520 meV/atom
# Magnetic moment: 0.0 μB/f.u.
data_CuReSb2
_chemical_formula_sum 'Cu2 Re2 Sb4'
_cell_length_a 8.5913
_cell_length_b 3.3384
_cell_length_c 5.3807
_cell_angle_alpha 90.00
_cell_angle_beta 98.56
_cell_angle_gamma 90.00
_symmetry_space_group_name_H-M 'C 1 2/m 1'
_symmetry_Int_Tables_number 12
loop_
_symmetry_equiv_pos_as_xyz
'x,y,z'
'-x,-y,-z'
'-x,y,-z'
'x,-y,z'
'x+1/2,y+1/2,z'
'-x+1/2,-y+1/2,-z'
'-x+1/2,y+1/2,-z'
'x+1/2,-y+1/2,z'
loop_
_atom_site_label
_atom_site_type_symbol
_atom_site_fract_x
_atom_site_fract_y
_atom_site_fract_z
Cu1 Cu 0.0000 0.0000 0.0000
Re1 Re 0.0000 0.5000 0.5000
Sb1 Sb 0.2323 0.0000 0.7378

***

Entry 6:
# Tb5Tl2Sn | Alexandria | GGA-PBE | relaxed
# Formation energy: -40.0 kJ/mol of atoms
# Magnetic moment: 0.0 μB/f.u.
data_Tb5Tl2Sn
_chemical_formula_sum 'Tb20 Tl8 Sn4'
_cell_length_a 8.4066
_cell_length_b 8.4066
_cell_length_c 13.1632
_cell_angle_alpha 90.00
_cell_angle_beta 90.00
_cell_angle_gamma 90.00
_symmetry_space_group_name_H-M 'I 4/m c m'
_symmetry_Int_Tables_number 140
_symmetry_space_group_name_Hall '-I 4 2c'
loop_
_atom_site_label
_atom_site_type_symbol
_atom_site_fract_x
_atom_site_fract_y
_atom_site_fract_z
Tb1 Tb 0.0000 0.0000 0.0000
Tb2 Tb 0.1554 0.3446 0.1518
Tl1 Tl 0.1435 0.3565 0.5000
Sn1 Sn 0.0000 0.0000 0.2500

***

Entry 7:
# AlAg3 | Alexandria | GGA-PBE | relaxed
# Formation energy: 2.2 kJ/mol of atoms
# Magnetic moment: 0.0 μB/f.u.
data_AlAg3
_chemical_formula_sum 'Al2 Ag6'
_cell_length_a 3.3478
_cell_length_b 4.6472
_cell_length_c 8.9829
_cell_angle_alpha 90.00
_cell_angle_beta 90.00
_cell_angle_gamma 90.00
_symmetry_space_group_name_H-M 'C m m m'
_symmetry_Int_Tables_number 65
_symmetry_space_group_name_Hall '-C 2 2'
loop_
_atom_site_label
_atom_site_type_symbol
_atom_site_fract_x
_atom_site_fract_y
_atom_site_fract_z
Al1 Al 0.0000 0.0000 0.0000
Ag1 Ag 0.0000 0.0000 0.5000
Ag2 Ag 0.0000 0.5000 0.2376

***

Entry 8:
# BaTaPtO6 | Alexandria | GGA-PBE | relaxed
# ΔE_f (raw): -1942 meV/atom
# Magnetic moment: 1.0 μB/f.u.
data_BaTaPtO6
_chemical_formula_sum 'Ba1 Ta1 Pt1 O6'
_cell_length_a 5.3794
_cell_length_b 5.3794
_cell_length_c 5.8089
_cell_angle_alpha 90.00
_cell_angle_beta 90.00
_cell_angle_gamma 120.00
_symmetry_space_group_name_H-M 'P 3 1 2'
_symmetry_Int_Tables_number 149
loop_
_symmetry_equiv_pos_as_xyz
'x,y,z'
'-y,x-y,z'
'-x+y,-x,z'
'-y,-x,-z'
'-x+y,y,-z'
'x,x-y,-z'
loop_
_atom_site_label
_atom_site_type_symbol
_atom_site_fract_x
_atom_site_fract_y
_atom_site_fract_z
Ba1 Ba 0.0000 0.0000 0.0000
Ta1 Ta 0.6667 0.3333 0.5000
Pt1 Pt 0.3333 0.6667 0.5000
O1 O 0.3832 0.0008 0.6919

***

Q: Look up the magnetic moment of the seventh one.
A: 0.0 μB/f.u.